Compound: RbUPSe6
Source: the Alexandria database
Functional: GGA-PBE
Structure: optimized geometry

DOS at the Fermi energy = 9.7 states/eV/f.u.
V = 34.37 A^3/atom
spin magnetization = 0.000 μB per cell
VASP energy = -42.63 eV/cell
E_form (uncorrected) = -0.4510 eV/atom

a b c (Å): 6.601 6.601 8.197
angles (deg): 90.00 90.00 60.01
Fractional coordinates of all 9 atoms:
Se: 0.625 0.348 0.682
Se: 0.625 0.027 0.318
Se: 0.348 0.027 0.682
Se: 0.027 0.625 0.682
Se: 0.027 0.348 0.318
Se: 0.348 0.625 0.318
P: 0.333 0.333 0.500
U: 0.667 0.667 0.500
Rb: 0.000 0.000 0.000


Compound: RbP2WSe8
Source: the Alexandria database
Functional: GGA-PBE
Structure: optimized geometry

DOS at the Fermi energy = 6.0 states/eV/f.u.
V = 29.51 A^3/atom
spin magnetization = 0.001 μB per cell
VASP energy = -55.24 eV/cell
E_form (uncorrected) = -0.2182 eV/atom

a b c (Å): 6.335 6.335 10.826
angles (deg): 72.99 72.99 60.00
Fractional coordinates of all 12 atoms:
Se: 0.706 0.066 0.862
Se: 0.634 0.294 0.138
Se: 0.195 0.195 0.415
Se: 0.805 0.805 0.585
Se: 0.294 0.934 0.138
Se: 0.066 0.366 0.862
Se: 0.366 0.706 0.862
Se: 0.934 0.634 0.138
Rb: 0.500 0.500 0.500
P: 0.265 0.265 0.204
P: 0.735 0.735 0.796
W: 0.000 0.000 0.000


Compound: Rb2ZnPSe4
Source: the Alexandria database
Functional: GGA-PBE
Structure: optimized geometry

DOS at the Fermi energy = 4.6 states/eV/f.u.
V = 33.35 A^3/atom
spin magnetization = 0.001 μB per cell
VASP energy = -55.35 eV/cell
E_form (uncorrected) = -0.6396 eV/atom

a b c (Å): 6.142 7.713 12.657
angles (deg): 84.46 75.96 66.54
Fractional coordinates of all 16 atoms:
Se: 0.526 0.309 0.606
Se: 0.441 0.691 0.394
Se: 0.585 0.191 0.106
Se: 0.224 0.191 0.894
Se: 0.309 0.809 0.106
Se: 0.868 0.691 0.606
Se: 0.165 0.309 0.394
Se: 0.882 0.809 0.894
Rb: 0.570 0.500 0.861
Rb: 0.180 0.000 0.639
Rb: 0.930 0.500 0.139
Rb: 0.820 0.000 0.361
Zn: 0.000 0.000 0.000
Zn: 0.750 0.500 0.500
P: 0.250 0.500 0.500
P: 0.500 0.000 0.000


Compound: Rb2ZnPSe
Source: the Alexandria database
Functional: GGA-PBE
Structure: optimized geometry

DOS at the Fermi energy = 4.3 states/eV/f.u.
V = 37.71 A^3/atom
spin magnetization = 0.000 μB per cell
VASP energy = -13.00 eV/cell
E_form (uncorrected) = -0.1786 eV/atom

a b c (Å): 6.716 4.180 6.716
angles (deg): 90.00 90.00 90.00
Fractional coordinates of all 5 atoms:
Se: 0.500 0.500 0.500
Rb: 0.000 0.000 0.500
Rb: 0.500 0.000 0.000
P: 0.000 0.500 0.000
Zn: 0.000 0.000 0.000


Compound: RbZrP2Se8
Source: the Alexandria database
Functional: GGA-PBE
Structure: optimized geometry

DOS at the Fermi energy = 12.5 states/eV/f.u.
V = 29.67 A^3/atom
spin magnetization = 0.002 μB per cell
VASP energy = -53.48 eV/cell
E_form (uncorrected) = -0.4389 eV/atom

a b c (Å): 6.481 6.481 10.477
angles (deg): 71.98 71.98 60.00
Fractional coordinates of all 12 atoms:
Se: 0.696 0.063 0.848
Se: 0.937 0.607 0.152
Se: 0.813 0.813 0.560
Se: 0.304 0.937 0.152
Se: 0.393 0.696 0.848
Se: 0.607 0.304 0.152
Se: 0.187 0.187 0.440
Se: 0.063 0.393 0.848
P: 0.740 0.740 0.781
P: 0.260 0.260 0.219
Rb: 0.500 0.500 0.500
Zr: 0.000 0.000 0.000


Compound: Rb2Si2P3
Source: the Alexandria database
Functional: GGA-PBE
Structure: optimized geometry

DOS at the Fermi energy = 0.5 states/eV/f.u.
V = 26.40 A^3/atom
spin magnetization = 0.000 μB per cell
VASP energy = -30.46 eV/cell
E_form (uncorrected) = -0.2069 eV/atom

a b c (Å): 4.158 8.313 7.441
angles (deg): 129.57 106.23 90.00
Fractional coordinates of all 7 atoms:
Rb: 0.429 0.212 0.858
Rb: 0.571 0.788 0.142
Si: 0.811 0.679 0.622
Si: 0.189 0.321 0.378
P: 0.209 0.621 0.419
P: 0.791 0.379 0.581
P: 0.000 0.000 0.000


Compound: RbSi3P3
Source: the Alexandria database
Functional: GGA-PBE
Structure: optimized geometry

DOS at the Fermi energy = 1.0 states/eV/f.u.
V = 26.53 A^3/atom
spin magnetization = 0.000 μB per cell
VASP energy = -66.25 eV/cell
E_form (uncorrected) = 0.0490 eV/atom

a b c (Å): 7.692 7.692 8.502
angles (deg): 63.11 63.11 60.00
Fractional coordinates of all 14 atoms:
P: 0.915 0.189 0.309
P: 0.587 0.915 0.309
P: 0.413 0.085 0.691
P: 0.085 0.811 0.691
P: 0.811 0.413 0.691
P: 0.189 0.587 0.309
Si: 0.163 0.854 0.387
Si: 0.854 0.595 0.387
Si: 0.837 0.146 0.613
Si: 0.595 0.163 0.387
Si: 0.405 0.837 0.613
Si: 0.146 0.405 0.613
Rb: 0.663 0.663 0.011
Rb: 0.337 0.337 0.989


Compound: Rb2SiSnP
Source: the Alexandria database
Functional: GGA-PBE
Structure: optimized geometry

DOS at the Fermi energy = 4.8 states/eV/f.u.
V = 46.71 A^3/atom
spin magnetization = 2.066 μB per cell
VASP energy = -13.87 eV/cell
E_form (uncorrected) = 0.5805 eV/atom

a b c (Å): 6.778 5.084 6.778
angles (deg): 90.00 90.00 90.00
Each line ends with the local moment (μB).
Fractional coordinates of all 5 atoms:
P: 0.500 0.500 0.500  0.78
Sn: 0.000 0.500 0.000  -0.12
Rb: 0.000 0.000 0.500  0.01
Rb: 0.500 0.000 0.000  0.01
Si: 0.000 0.000 0.000  0.11


Compound: RbSi2Te8P
Source: the Alexandria database
Functional: GGA-PBE
Structure: optimized geometry

DOS at the Fermi energy = 8.7 states/eV/f.u.
V = 37.87 A^3/atom
spin magnetization = 0.000 μB per cell
VASP energy = -41.93 eV/cell
E_form (uncorrected) = 0.0354 eV/atom

a b c (Å): 6.333 6.333 13.586
angles (deg): 76.52 76.52 60.00
Fractional coordinates of all 12 atoms:
Te: 0.710 0.106 0.850
Te: 0.198 0.198 0.406
Te: 0.894 0.666 0.150
Te: 0.666 0.290 0.150
Te: 0.106 0.334 0.850
Te: 0.802 0.802 0.594
Te: 0.290 0.894 0.150
Te: 0.334 0.710 0.850
P: 0.000 0.000 0.000
Si: 0.260 0.260 0.220
Si: 0.740 0.740 0.780
Rb: 0.500 0.500 0.500


Compound: RbYSiP2
Source: the Alexandria database
Functional: GGA-PBE
Structure: optimized geometry

DOS at the Fermi energy = 3.3 states/eV/f.u.
V = 31.74 A^3/atom
spin magnetization = 0.000 μB per cell
VASP energy = -22.43 eV/cell
E_form (uncorrected) = 0.2497 eV/atom

a b c (Å): 5.373 5.497 5.373
angles (deg): 90.00 90.00 90.00
Fractional coordinates of all 5 atoms:
Rb: 0.500 0.500 0.500
Y: 0.000 0.000 0.000
P: 0.500 0.000 0.000
P: 0.000 0.000 0.500
Si: 0.000 0.500 0.000


Compound: RbZr2SiP
Source: the Alexandria database
Functional: GGA-PBE
Structure: optimized geometry

DOS at the Fermi energy = 6.1 states/eV/f.u.
V = 26.37 A^3/atom
spin magnetization = 0.000 μB per cell
VASP energy = -17.49 eV/cell
E_form (uncorrected) = 2.2806 eV/atom

a b c (Å): 5.100 5.068 5.100
angles (deg): 90.00 90.00 90.00
Fractional coordinates of all 5 atoms:
Zr: 0.500 0.000 0.000
Zr: 0.000 0.000 0.500
Rb: 0.000 0.000 0.000
Si: 0.500 0.500 0.500
P: 0.000 0.500 0.000


Compound: Rb2SnP
Source: the Alexandria database
Functional: GGA-PBE
Structure: optimized geometry

formation energy from the elements = 0.3295 eV per atom
DOS at the Fermi energy = 3.2 states/eV/f.u.
V = 35.99 A^3/atom
spin magnetization = 0.897 μB per cell
VASP energy = -10.03 eV/cell
relative energy among the computed polymorphs = 230.7 kJ/mol of formula units

a b c (Å): 5.883 5.883 5.883
angles (deg): 60.00 60.00 60.00
Each line ends with the local moment (μB).
Fractional coordinates of all 4 atoms:
Rb: 0.250 0.250 0.250  0.03
Rb: 0.750 0.750 0.750  0.03
P: 0.000 0.000 0.000  -0.14
Sn: 0.500 0.500 0.500  0.47